No. 1
NdCdGeAu PBE-GGA relaxed; magnetization = 0.00 Bohr magnetons per cell; DFT formation energy = -1.972 eV per formula unit
1.0
5.0367 0.0000 0.0000
2.5183 4.3619 0.0000
2.5183 1.4540 4.1124
Nd Cd Ge Au
1 1 1 1
Direct
0.0000 0.0000 0.0000
0.5000 0.5000 0.5000
0.2500 0.2500 0.2500
0.7500 0.7500 0.7500

***

No. 2
Be3IrAu PBE-GGA relaxed; energy above the lowest structure with this stoichiometry = 0 meV/atom; magnetization = 0.00 Bohr magnetons per cell; DFT formation energy = 1.801 eV per formula unit
1.0
4.2006 0.0000 0.0000
0.0000 4.2006 0.0000
0.0000 0.0000 4.2006
Ir Be Au
1 3 1
Direct
0.0000 0.0000 0.0000
0.0000 0.0000 0.5000
0.0000 0.5000 0.0000
0.5000 0.0000 0.0000
0.5000 0.5000 0.5000

***

No. 3
Li2HoGa2Au2 PBE-GGA relaxed; magnetization = 0.00 Bohr magnetons per cell; DFT formation energy = -4.248 eV per formula unit
1.0
-1.6369 -4.1526 0.7607
4.4055 0.8557 0.6752
-3.6878 2.5718 6.1036
Ga Li Au Ho
2 2 2 1
Direct
0.4224 0.8448 0.2713
0.5776 0.1552 0.7287
0.1399 0.2798 0.4250
0.8601 0.7202 0.5750
0.2627 0.5254 0.7844
0.7373 0.4746 0.2156
0.0000 0.0000 0.0000

***

No. 4
Ba2SrErSe4 PBE-GGA relaxed; magnetization = 0.00 Bohr magnetons per cell; formation energy (no corrections) = -44.57 kcal/mol of atoms
1.0
4.4102 0.0000 0.0000
0.0000 7.6803 0.1492
0.0000 -2.6698 7.3446
Se Ba Sr Er
4 2 1 1
Direct
0.0000 0.2429 0.7782
0.5000 0.7754 0.7853
0.0000 0.7571 0.2218
0.5000 0.2246 0.2147
0.5000 0.0000 0.5000
0.0000 0.5000 0.5000
0.5000 0.5000 0.0000
0.0000 0.0000 0.0000